Entry 1:
## BRuS3 (GGA-PBE)

Data for a relaxed BRuS3 crystal.

```
5
Lattice="4.050 0.000 0.000 0.000 4.050 0.000 0.000 0.000 4.050" Properties=species:S:1:pos:R:3 pbc="T T T"
B 0.000 0.000 0.000
Ru 2.025 2.025 2.025
S 0.000 0.000 2.025
S 0.000 2.025 0.000
S 2.025 0.000 0.000
```

Formation energy without anion corrections = 4.398 eV per formula unit
Excess energy over the best structure of this formula in the dataset = 0 meV per atom

Entry 2:
## Y2TiVN (GGA-PBE)

Data for a relaxed Y2TiVN crystal.

```
5
Lattice="5.343 0.000 0.000 0.000 5.343 0.000 0.000 0.000 4.152" Properties=species:S:1:pos:R:3 pbc="T T T"
Y 0.000 2.671 0.000
Y 2.671 0.000 0.000
Ti 0.000 0.000 0.000
V 0.000 0.000 2.076
N 2.671 2.671 2.076
```

Formation energy without anion corrections = 7.460 eV per formula unit

Entry 3:
## Tb4GaAgAu2 (GGA-PBE)

Data for a relaxed Tb4GaAgAu2 crystal.

```
8
Lattice="2.560 1.478 8.378 -2.560 1.478 8.378 0.000 -2.956 8.378" Properties=species:S:1:pos:R:3 pbc="T T T"
Tb 0.000 0.000 3.118
Tb 0.000 0.000 9.411
Tb 0.000 0.000 15.723
Tb 0.000 0.000 22.015
Ga 0.000 0.000 0.000
Ag 0.000 0.000 12.567
Au 0.000 0.000 6.277
Au 0.000 0.000 18.857
```

Formation enthalpy at 0 K = -0.64 eV/atom